(1)
Crystalline Eu2ErSn at its relaxed geometry, computed with PBE.

Crystal system: tetragonal
ΔE_f, kJ/mol of formula units: -146

```
4
Lattice="4.863 0.000 0.000 0.000 4.863 0.000 0.000 0.000 5.146" Properties=species:S:1:pos:R:3 pbc="T T T"
Eu 0.000 2.431 0.000
Eu 2.431 0.000 0.000
Er 0.000 0.000 2.573
Sn 2.431 2.431 2.573
```



(2)
Crystalline YHgOF2 at its relaxed geometry, computed with PBE.

Crystal system: tetragonal
Energy above the most stable polymorph in this dataset, kJ/mol of formula units: 611
Formation energy (no corrections), kcal/mol of atoms: -29.512

```
5
Lattice="4.621 0.000 0.000 0.000 4.621 0.000 0.000 0.000 4.203" Properties=species:S:1:pos:R:3 pbc="T T T"
Y 0.000 0.000 0.000
Hg 2.311 2.311 2.101
O 2.311 2.311 0.000
F 0.000 2.311 2.101
F 2.311 0.000 2.101
```



(3)
Crystalline Tl7Te3F2 at its relaxed geometry, computed with PBE.

Crystal system: triclinic
Formation energy (no corrections), kcal/mol of atoms: -16.018

```
12
Lattice="5.242 0.000 0.000 0.005 5.411 0.000 0.009 1.399 13.154" Properties=species:S:1:pos:R:3 pbc="T T T"
Tl 0.000 0.000 0.000
Tl 0.004 2.477 2.591
Tl 5.252 4.333 10.563
Tl 0.014 1.963 7.656
Tl 2.630 1.550 10.470
Tl 2.626 5.260 2.684
Tl 5.242 4.847 5.497
Te 2.626 2.616 5.015
Te 2.623 2.705 0.000
Te 2.629 4.194 8.139
F 0.009 1.707 10.350
F 5.247 5.103 2.804
```



(4)
Crystalline CeNpRe4 at its relaxed geometry, computed with PBE.

Crystal system: cubic
ΔE_f, kJ/mol of formula units: 50

```
6
Lattice="0.000 3.839 3.839 3.839 0.000 3.839 3.839 3.839 0.000" Properties=species:S:1:pos:R:3 pbc="T T T"
Ce 0.000 0.000 0.000
Np 5.758 5.758 5.758
Re 2.880 2.880 2.880
Re 4.798 4.798 2.880
Re 4.798 2.880 4.798
Re 2.880 4.798 4.798
```



Number 1: E -30.62 eV per cell. Number 2: E -21.87 eV per cell. Number 3: E -38.07 eV per cell. Number 4: E -68.15 eV per cell.